Record 1
The following is a PBE-GGA calculation of a relaxed Tb3PuGe3 crystal, from Alexandria via LeMat-Bulk.

Computed properties:
Formation energy: -323 kJ/mol of formula units

Geometry as POSCAR:
```
Tb3PuGe3
1.0
5.760 0.000 0.000
0.000 8.896 0.000
0.000 -4.448 7.704
Ge Tb Pu
6 6 2
direct
0.750 0.652 0.004
0.250 0.648 0.652
0.750 0.996 0.648
0.750 0.352 0.348
0.250 0.348 0.996
0.250 0.004 0.352
0.250 0.307 0.323
0.250 0.015 0.693
0.250 0.677 0.985
0.750 0.985 0.307
0.750 0.693 0.677
0.750 0.323 0.015
0.250 0.667 0.333
0.750 0.333 0.667
```


Record 2
The following is a PBE-GGA calculation of a relaxed In2CuTe3Cl crystal, from Alexandria via LeMat-Bulk.

Computed properties:
ΔE_f (raw): -386.3 meV per atom

Geometry as POSCAR:
```
In2CuTe3Cl
1.0
-5.008 2.153 -2.761
1.106 -4.297 -4.794
-1.712 -2.993 6.684
In Cu Te Cl
2 1 3 1
direct
0.758 0.242 0.531
0.033 0.990 0.006
0.425 0.562 0.947
0.367 0.849 0.274
0.598 0.648 0.721
0.183 0.145 0.760
0.885 0.315 0.260
```


Record 3
The following is a PBE-GGA calculation of a relaxed ZnHg2Au crystal, from Alexandria via LeMat-Bulk.

Computed properties:
Formation energy: 15 kJ/mol of formula units

Geometry as POSCAR:
```
ZnHg2Au
1.0
8.722 -0.117 -0.069
8.095 3.248 -0.069
8.095 1.508 2.878
Hg Zn Au
2 1 1
direct
0.241 0.241 0.241
0.005 0.005 0.005
0.494 0.494 0.494
0.760 0.760 0.760
```


Record 4
The following is a PBE-GGA calculation of a relaxed NaPaAs2 crystal, from Alexandria via LeMat-Bulk.

Computed properties:
Formation energy: -237 kJ/mol of formula units
ΔE to the lowest computed polymorph: 172 meV per atom

Geometry as POSCAR:
```
NaPaAs2
1.0
3.674 0.000 0.000
0.000 4.804 0.000
0.000 0.000 4.804
Pa As Na
1 2 1
direct
0.500 0.500 0.500
0.000 0.000 0.500
0.000 0.500 0.000
0.500 0.000 0.000
```


Record 5
The following is a PBE-GGA calculation of a relaxed MnTl2GaTe4 crystal, from Alexandria via LeMat-Bulk.

Computed properties:
ΔE_f (raw): -199.2 meV per atom

Geometry as POSCAR:
```
MnTl2GaTe4
1.0
-3.525 7.178 -3.405
-7.636 -4.092 -0.700
3.818 0.430 7.596
Mn Te Tl Ga
2 8 4 2
direct
0.000 0.500 0.500
0.000 0.500 0.000
0.772 0.728 0.521
0.222 0.700 0.461
0.200 0.722 0.961
0.800 0.278 0.039
0.778 0.300 0.539
0.772 0.728 0.979
0.228 0.272 0.021
0.228 0.272 0.479
0.500 0.500 0.000
0.000 0.000 0.500
0.500 0.000 0.000
0.500 0.000 0.500
0.500 0.500 0.500
0.000 0.000 0.000
```


Record 6
The following is a PBE-GGA calculation of a relaxed BiN crystal, from Alexandria via LeMat-Bulk.

Computed properties:
ΔE_f (raw): 713.5 meV per atom

Geometry as POSCAR:
```
BiN
1.0
10.030 0.000 0.000
0.000 8.227 0.000
0.000 0.000 7.067
Bi N
16 16
direct
0.000 0.000 0.738
0.500 0.500 0.262
0.500 0.500 0.738
0.750 0.250 0.988
0.500 0.000 0.762
0.500 0.000 0.238
0.250 0.250 0.488
0.000 0.500 0.238
0.750 0.250 0.512
0.750 0.750 0.488
0.250 0.750 0.988
0.000 0.000 0.262
0.000 0.500 0.762
0.750 0.750 0.012
0.250 0.250 0.012
0.250 0.750 0.512
0.500 0.689 0.500
0.000 0.811 0.500
0.750 0.939 0.250
0.250 0.439 0.250
0.250 0.061 0.250
0.500 0.189 0.000
0.250 0.939 0.750
0.750 0.061 0.750
0.250 0.561 0.750
0.500 0.811 0.000
0.000 0.689 0.000
0.750 0.561 0.250
0.500 0.311 0.500
0.750 0.439 0.750
0.000 0.189 0.500
0.000 0.311 0.000
```


Record 7
The following is a PBE-GGA calculation of a relaxed Mg2AgBr crystal, from Alexandria via LeMat-Bulk.

Computed properties:
ΔE_f (raw): -449.9 meV per atom
ΔE to the lowest computed polymorph: 5 meV per atom

Geometry as POSCAR:
```
Mg2AgBr
1.0
3.329 0.000 0.000
0.000 3.554 -0.038
0.000 0.079 7.744
Ag Br Mg
1 1 2
direct
0.500 0.250 0.250
0.500 0.750 0.750
0.000 0.750 0.043
0.000 0.750 0.457
```


Record 8
The following is a PBE-GGA calculation of a relaxed TcSn3P crystal, from Alexandria via LeMat-Bulk.

Computed properties:
Formation energy: 528 kJ/mol of formula units
ΔE to the lowest computed polymorph: 568 meV per atom

Geometry as POSCAR:
```
TcSn3P
1.0
-3.993 -2.232 2.247
2.561 -0.149 4.403
-1.863 4.579 1.238
P Sn Tc
1 3 1
direct
0.000 0.000 0.000
0.000 0.500 0.000
0.000 0.000 0.500
0.500 0.000 0.000
0.500 0.500 0.500
```


What did the seventh record say?
The following is a PBE-GGA calculation of a relaxed Mg2AgBr crystal, from Alexandria via LeMat-Bulk.

Computed properties:
ΔE_f (raw): -449.9 meV per atom
ΔE to the lowest computed polymorph: 5 meV per atom

Geometry as POSCAR:
```
Mg2AgBr
1.0
3.329 0.000 0.000
0.000 3.554 -0.038
0.000 0.079 7.744
Ag Br Mg
1 1 2
direct
0.500 0.250 0.250
0.500 0.750 0.750
0.000 0.750 0.043
0.000 0.750 0.457
```